(1)
Density functional theory data (PBE-GGA) for an optimized crystal structure of Sm2HoSi3Pt4.

```
Sm2HoSi3Pt4
1.0
4.2492 0.0000 0.0000
0.0000 4.2492 0.0000
0.0000 0.0000 10.8316
Sm Ho Si Pt
2 1 3 4
Direct
0.0000 0.5000 0.2257 Sm
0.5000 0.0000 0.7743 Sm
0.0000 0.0000 0.5000 Ho
0.0000 0.5000 0.8805 Si
0.5000 0.0000 0.1195 Si
0.5000 0.5000 0.5000 Si
0.0000 0.0000 0.0000 Pt
0.0000 0.5000 0.6603 Pt
0.5000 0.0000 0.3397 Pt
0.5000 0.5000 0.0000 Pt
```

Calculated values
As for the magnetization: 0.0 μB/f.u. The calculation puts the total energy at -6.5102 eV/atom. The crystal system is tetragonal. As for the uncorrected formation energy: -1.065 eV/atom.

---

(2)
Density functional theory data (PBE-GGA) for an optimized crystal structure of HoSi2Sn2Pt7.

```
HoSi2Sn2Pt7
1.0
2.7888 -2.7899 0.0000
2.7888 2.7899 0.0000
-2.7412 0.0000 15.1688
Ho Si Sn Pt
1 2 2 7
Direct
0.0000 0.0000 0.0000 Ho
0.3836 0.3836 0.7630 Si
0.6164 0.6164 0.2370 Si
0.2108 0.2108 0.4225 Sn
0.7892 0.7892 0.5775 Sn
0.0719 0.5718 0.1467 Pt
0.3042 0.3042 0.6088 Pt
0.4282 0.9281 0.8533 Pt
0.5000 0.5000 0.0000 Pt
0.5718 0.0719 0.1467 Pt
0.6958 0.6958 0.3912 Pt
0.9281 0.4282 0.8533 Pt
```

Calculated values
As for the magnetization: 0.0 μB/f.u. The calculation puts the total energy at -6.1825 eV/atom. The crystal system is monoclinic. As for the uncorrected formation energy: -0.706 eV/atom.

---

(3)
Density functional theory data (PBE-GGA) for an optimized crystal structure of Ho3Si2SnPt9.

```
Ho3Si2SnPt9
1.0
5.6387 0.0000 0.0000
-2.8193 4.8832 0.0000
0.0000 0.0000 11.2017
Ho Si Sn Pt
3 2 1 9
Direct
0.0000 0.0000 0.0000 Ho
0.3333 0.6667 0.5942 Ho
0.6667 0.3333 0.4058 Ho
0.3333 0.6667 0.1580 Si
0.6667 0.3333 0.8420 Si
0.0000 0.0000 0.5000 Sn
0.0000 0.5000 0.0000 Pt
0.1667 0.3334 0.3115 Pt
0.1667 0.8333 0.3115 Pt
0.3334 0.1667 0.6885 Pt
0.5000 0.0000 0.0000 Pt
0.5000 0.5000 0.0000 Pt
0.6666 0.8333 0.3115 Pt
0.8333 0.1667 0.6885 Pt
0.8333 0.6666 0.6885 Pt
```

Calculated values
As for the magnetization: 0.0 μB/f.u. The calculation puts the total energy at -6.3235 eV/atom. The crystal system is trigonal. As for the uncorrected formation energy: -0.794 eV/atom.

---

(4)
Density functional theory data (PBE-GGA) for an optimized crystal structure of Ho2TaSi3Pt4.

```
Ho2TaSi3Pt4
1.0
4.1442 0.0000 0.0000
0.0000 4.1442 0.0000
0.0000 0.0000 10.5147
Ho Ta Si Pt
2 1 3 4
Direct
0.0000 0.5000 0.2358 Ho
0.5000 0.0000 0.7642 Ho
0.0000 0.0000 0.5000 Ta
0.0000 0.5000 0.8663 Si
0.5000 0.0000 0.1337 Si
0.5000 0.5000 0.5000 Si
0.0000 0.0000 0.0000 Pt
0.0000 0.5000 0.6426 Pt
0.5000 0.0000 0.3574 Pt
0.5000 0.5000 0.0000 Pt
```

Calculated values
As for the magnetization: 0.0 μB/f.u. The calculation puts the total energy at -7.1389 eV/atom. The crystal system is tetragonal. As for the uncorrected formation energy: -0.995 eV/atom.

---

(5)
Density functional theory data (PBE-GGA) for an optimized crystal structure of TbHoSi2Pt5.

```
TbHoSi2Pt5
1.0
4.1870 0.0000 0.0000
0.0000 4.1870 0.0000
0.0000 0.0000 8.9551
Tb Ho Si Pt
1 1 2 5
Direct
0.0000 0.0000 0.0000 Tb
0.0000 0.0000 0.5000 Ho
0.5000 0.5000 0.3692 Si
0.5000 0.5000 0.6308 Si
0.0000 0.5000 0.2360 Pt
0.0000 0.5000 0.7640 Pt
0.5000 0.0000 0.2360 Pt
0.5000 0.0000 0.7640 Pt
0.5000 0.5000 0.0000 Pt
```

Calculated values
As for the magnetization: 0.0 μB/f.u. The calculation puts the total energy at -6.6899 eV/atom. The crystal system is tetragonal. As for the uncorrected formation energy: -1.106 eV/atom.

---

(6)
Density functional theory data (PBE-GGA) for an optimized crystal structure of Tb2HoSi3Pt4.

```
Tb2HoSi3Pt4
1.0
4.1912 0.0000 0.0000
0.0000 4.1912 0.0000
0.0000 0.0000 10.9457
Tb Ho Si Pt
2 1 3 4
Direct
0.0000 0.5000 0.2236 Tb
0.5000 0.0000 0.7764 Tb
0.0000 0.0000 0.5000 Ho
0.0000 0.5000 0.8783 Si
0.5000 0.0000 0.1217 Si
0.5000 0.5000 0.5000 Si
0.0000 0.0000 0.0000 Pt
0.0000 0.5000 0.6621 Pt
0.5000 0.0000 0.3379 Pt
0.5000 0.5000 0.0000 Pt
```

Calculated values
As for the magnetization: 0.0 μB/f.u. The calculation puts the total energy at -6.4889 eV/atom. The crystal system is tetragonal. As for the uncorrected formation energy: -1.062 eV/atom.

---

(7)
Density functional theory data (PBE-GGA) for an optimized crystal structure of TbHoSiPt.

```
TbHoSiPt
1.0
4.1680 0.0000 0.0000
0.0000 1.9985 5.3557
0.0000 -1.9985 5.3557
Tb Ho Si Pt
1 1 1 1
Direct
0.0000 0.0000 0.0000 Tb
0.5000 0.2820 0.2820 Ho
0.0000 0.7178 0.7178 Si
0.5000 0.5638 0.5638 Pt
```

Calculated values
As for the magnetization: 0.0 μB/f.u. The calculation puts the total energy at -6.2038 eV/atom. The crystal system is orthorhombic. As for the uncorrected formation energy: -1.036 eV/atom.

---

(8)
Density functional theory data (PBE-GGA) for an optimized crystal structure of TbHo2Si3Pt4.

```
TbHo2Si3Pt4
1.0
4.1656 0.0000 0.0000
0.0000 4.1656 0.0000
0.0000 0.0000 11.0575
Tb Ho Si Pt
1 2 3 4
Direct
0.0000 0.0000 0.0000 Tb
0.0000 0.5000 0.7224 Ho
0.5000 0.0000 0.2776 Ho
0.0000 0.5000 0.3780 Si
0.5000 0.0000 0.6220 Si
0.5000 0.5000 0.0000 Si
0.0000 0.0000 0.5000 Pt
0.0000 0.5000 0.1652 Pt
0.5000 0.0000 0.8348 Pt
0.5000 0.5000 0.5000 Pt
```

Calculated values
As for the magnetization: 0.0 μB/f.u. The calculation puts the total energy at -6.4574 eV/atom. The crystal system is tetragonal. As for the uncorrected formation energy: -1.036 eV/atom.

---

(9)
Density functional theory data (PBE-GGA) for an optimized crystal structure of Ho2Si4TcPt3.

```
Ho2Si4TcPt3
1.0
4.1724 0.0000 0.0000
0.0000 4.1724 0.0000
0.0000 0.0000 9.8765
Ho Si Tc Pt
2 4 1 3
Direct
0.0000 0.5000 0.2469 Ho
0.5000 0.0000 0.7531 Ho
0.0000 0.0000 0.0000 Si
0.0000 0.5000 0.6282 Si
0.5000 0.0000 0.3718 Si
0.5000 0.5000 0.0000 Si
0.0000 0.0000 0.5000 Tc
0.0000 0.5000 0.8726 Pt
0.5000 0.0000 0.1274 Pt
0.5000 0.5000 0.5000 Pt
```

Calculated values
As for the magnetization: 0.0 μB/f.u. The calculation puts the total energy at -6.9556 eV/atom. The crystal system is tetragonal. As for the uncorrected formation energy: -1.022 eV/atom.

---

(10)
Density functional theory data (PBE-GGA) for an optimized crystal structure of Ho8SiTe4Pt3.

```
Ho8SiTe4Pt3
1.0
4.1416 2.3911 7.2482
-4.1416 2.3911 7.2482
0.0000 -4.7823 7.2482
Ho Si Te Pt
8 1 4 3
Direct
0.2360 0.7399 0.7399 Ho
0.2372 0.2372 0.2372 Ho
0.2601 0.2601 0.7640 Ho
0.2601 0.7640 0.2601 Ho
0.7399 0.2360 0.7399 Ho
0.7399 0.7399 0.2360 Ho
0.7628 0.7628 0.7628 Ho
0.7640 0.2601 0.2601 Ho
0.5000 0.5000 0.5000 Si
0.0000 0.0000 0.0000 Te
0.0000 0.5000 0.5000 Te
0.5000 0.0000 0.5000 Te
0.5000 0.5000 0.0000 Te
0.0000 0.0000 0.5000 Pt
0.0000 0.5000 0.0000 Pt
0.5000 0.0000 0.0000 Pt
```

Calculated values
As for the magnetization: 0.0 μB/f.u. The calculation puts the total energy at -5.7421 eV/atom. The crystal system is trigonal. As for the uncorrected formation energy: -1.196 eV/atom.

---

(11)
Density functional theory data (PBE-GGA) for an optimized crystal structure of HoThSi2Pt5.

```
HoThSi2Pt5
1.0
4.2744 0.0000 0.0000
0.0000 4.2744 0.0000
0.0000 0.0000 8.9506
Ho Th Si Pt
1 1 2 5
Direct
0.0000 0.0000 0.0000 Ho
0.0000 0.0000 0.5000 Th
0.5000 0.5000 0.1306 Si
0.5000 0.5000 0.8694 Si
0.0000 0.5000 0.2602 Pt
0.0000 0.5000 0.7398 Pt
0.5000 0.0000 0.2602 Pt
0.5000 0.0000 0.7398 Pt
0.5000 0.5000 0.5000 Pt
```

Calculated values
As for the magnetization: 0.0 μB/f.u. The calculation puts the total energy at -6.9764 eV/atom. The crystal system is tetragonal. As for the uncorrected formation energy: -1.082 eV/atom.

---

(12)
Density functional theory data (PBE-GGA) for an optimized crystal structure of HoTh2Si3Pt12.

```
HoTh2Si3Pt12
1.0
4.1513 2.3968 6.0959
-4.1513 2.3968 6.0959
0.0000 -4.7935 6.0959
Ho Th Si Pt
1 2 3 12
Direct
0.0000 0.0000 0.0000 Ho
0.3980 0.3980 0.3980 Th
0.6020 0.6020 0.6020 Th
0.0000 0.0000 0.5000 Si
0.0000 0.5000 0.0000 Si
0.5000 0.0000 0.0000 Si
0.1028 0.6486 0.6486 Pt
0.1467 0.1467 0.5978 Pt
0.1467 0.5978 0.1467 Pt
0.3514 0.3514 0.8972 Pt
0.3514 0.8972 0.3514 Pt
0.4022 0.8533 0.8533 Pt
0.5978 0.1467 0.1467 Pt
0.6486 0.1028 0.6486 Pt
0.6486 0.6486 0.1028 Pt
0.8533 0.4022 0.8533 Pt
0.8533 0.8533 0.4022 Pt
0.8972 0.3514 0.3514 Pt
```

Calculated values
As for the magnetization: 0.0 μB/f.u. The calculation puts the total energy at -6.6304 eV/atom. The crystal system is trigonal. As for the uncorrected formation energy: -0.621 eV/atom.